MoPb2Br | GGA-PBE | relaxed

ΔE to the lowest computed polymorph   587.7 meV per atom
Space-group type   I-42d
Uncorrected formation energy   0.84 eV/atom
Energy   -4.14 eV per atom
DOS(E_F)   9.2 states/eV per cell
Total moment   0.98 μB per formula unit

Cell and atoms, written as extended XYZ:
```
16
Lattice="6.4607 0.0000 0.0000 0.0000 6.4607 0.0000 0.0000 0.0000 14.5407" Properties=species:S:1:pos:R:3 pbc="T T T"
Mo 0.0000 0.0000 0.0000
Mo 0.0000 3.2304 3.6352
Mo 3.2304 0.0000 10.9055
Mo 3.2304 3.2304 7.2703
Pb 1.1536 1.6152 1.8176
Pb 1.6152 4.3840 5.4528
Pb 1.6152 5.3071 12.7231
Pb 2.0768 1.6152 9.0879
Pb 4.3840 4.8456 9.0879
Pb 4.8456 1.1536 12.7231
Pb 4.8456 2.0768 5.4528
Pb 5.3071 4.8456 1.8176
Br 0.0000 0.0000 7.2703
Br 0.0000 3.2304 10.9055
Br 3.2304 0.0000 3.6352
Br 3.2304 3.2304 0.0000
```